The following is a DFT calculation (PBE-GGA) of crystalline MnV2FeH at its relaxed geometry.

Computed properties:
Total energy in eV/cell: -39.41
E above lowest polymorph in meV/atom: 26

a b c (Å): 3.9326 3.9326 3.2670
angles (deg): 90.00 90.00 90.00
Space group P4/mmm (No. 123)
Symmetry-distinct sites (fractional):
Mn 0.0000 0.0000 0.0000 [1 per cell]
V 0.0000 0.5000 0.5000 [2 per cell]
Fe 0.5000 0.5000 0.0000 [1 per cell]
H 0.0000 0.0000 0.5000 [1 per cell]


The following is a DFT calculation (PBE-GGA) of crystalline Mn2VFeH at its relaxed geometry.

Computed properties:
Total energy in eV/cell: -39.28
E above lowest polymorph in meV/atom: 29

a b c (Å): 3.5694 3.5694 3.8037
angles (deg): 90.00 90.00 90.00
Space group P4/mmm (No. 123)
Symmetry-distinct sites (fractional):
Mn 0.0000 0.5000 0.0000 [2 per cell]
V 0.0000 0.0000 0.5000 [1 per cell]
Fe 0.5000 0.5000 0.5000 [1 per cell]
H 0.0000 0.0000 0.0000 [1 per cell]


The following is a DFT calculation (PBE-GGA) of crystalline Mn2FeHW at its relaxed geometry.

Computed properties:
Total energy in eV/cell: -42.94
E above lowest polymorph in meV/atom: 0

a b c (Å): 3.7096 3.7096 3.6461
angles (deg): 90.00 90.00 90.00
Space group P4/mmm (No. 123)
Symmetry-distinct sites (fractional):
Mn 0.0000 0.5000 0.0000 [2 per cell]
Fe 0.0000 0.0000 0.5000 [1 per cell]
H 0.0000 0.0000 0.0000 [1 per cell]
W 0.5000 0.5000 0.5000 [1 per cell]


The following is a DFT calculation (PBE-GGA) of crystalline MnFe2HW at its relaxed geometry.

Computed properties:
Total energy in eV/cell: -41.94
E above lowest polymorph in meV/atom: 77

a b c (Å): 3.6216 3.6216 3.8682
angles (deg): 90.00 90.00 90.00
Space group P4/mmm (No. 123)
Symmetry-distinct sites (fractional):
Mn 0.0000 0.0000 0.0000 [1 per cell]
Fe 0.0000 0.5000 0.5000 [2 per cell]
H 0.5000 0.5000 0.5000 [1 per cell]
W 0.5000 0.5000 0.0000 [1 per cell]


The following is a DFT calculation (PBE-GGA) of crystalline Mn2FeHW at its relaxed geometry.

Computed properties:
Total energy in eV/cell: -42.52
E above lowest polymorph in meV/atom: 85

a b c (Å): 3.6332 3.6332 3.8622
angles (deg): 90.00 90.00 90.00
Space group P4/mmm (No. 123)
Symmetry-distinct sites (fractional):
Mn 0.0000 0.5000 0.0000 [2 per cell]
Fe 0.0000 0.0000 0.5000 [1 per cell]
H 0.5000 0.5000 0.0000 [1 per cell]
W 0.5000 0.5000 0.5000 [1 per cell]


The following is a DFT calculation (PBE-GGA) of crystalline MnFe2HW at its relaxed geometry.

Computed properties:
Total energy in eV/cell: -42.32
E above lowest polymorph in meV/atom: 0

a b c (Å): 3.6592 3.6592 3.6813
angles (deg): 90.00 90.00 90.00
Space group P4/mmm (No. 123)
Symmetry-distinct sites (fractional):
Mn 0.0000 0.0000 0.0000 [1 per cell]
Fe 0.0000 0.5000 0.5000 [2 per cell]
H 0.0000 0.0000 0.5000 [1 per cell]
W 0.5000 0.5000 0.0000 [1 per cell]


The following is a DFT calculation (PBE-GGA) of crystalline MnZnFe2H at its relaxed geometry.

Computed properties:
Total energy in eV/cell: -30.70
E above lowest polymorph in meV/atom: 0

a b c (Å): 3.6624 3.6624 3.8660
angles (deg): 90.00 90.00 90.00
Space group P4/mmm (No. 123)
Symmetry-distinct sites (fractional):
Mn 0.0000 0.0000 0.0000 [1 per cell]
Zn 0.5000 0.5000 0.0000 [1 per cell]
Fe 0.0000 0.5000 0.5000 [2 per cell]
H 0.0000 0.0000 0.5000 [1 per cell]


The following is a DFT calculation (PBE-GGA) of crystalline MnZnFe2H at its relaxed geometry.

Computed properties:
Total energy in eV/cell: -30.03
E above lowest polymorph in meV/atom: 135

a b c (Å): 3.6039 3.6039 4.0542
angles (deg): 90.00 90.00 90.00
Space group P4/mmm (No. 123)
Symmetry-distinct sites (fractional):
Mn 0.0000 0.0000 0.0000 [1 per cell]
Zn 0.5000 0.5000 0.0000 [1 per cell]
Fe 0.0000 0.5000 0.5000 [2 per cell]
H 0.5000 0.5000 0.5000 [1 per cell]


The highest E above lowest polymorph belongs to which entry? number 8


E above lowest polymorph of number 3 (Mn2FeHW)? 0 meV/atom